1.
Crystalline CaTe4 at its relaxed geometry, computed with PBE-GGA.

Raw formation energy   0.248 eV per atom
VASP energy   -0.0980 Ha/atom

Unit cell a=5.7780 b=5.7780 c=5.7780 alpha=90.00 beta=90.00 gamma=90.00
Sites, in units of the cell vectors:
1 Ca 0.5000 0.5000 0.5000
2 Te 0.0000 0.0000 0.0000
3 Te 0.5000 0.0000 0.5000
4 Te 0.5000 0.5000 0.0000
5 Te 0.0000 0.5000 0.5000

2.
Crystalline CaTe at its relaxed geometry, computed with PBE-GGA.

Raw formation energy   -1.617 eV per atom
VASP energy   -0.1539 Ha/atom

Unit cell a=4.4656 b=4.4656 c=7.6607 alpha=90.00 beta=90.00 gamma=120.00
Sites, in units of the cell vectors:
1 Ca 0.0000 0.0000 0.5000
2 Ca 0.0000 0.0000 0.0000
3 Te 0.3333 0.6667 0.2500
4 Te 0.6667 0.3333 0.7500

3.
Crystalline CaTe at its relaxed geometry, computed with PBE-GGA.

Raw formation energy   -1.298 eV per atom
VASP energy   -0.1422 Ha/atom

Unit cell a=7.9539 b=7.9539 c=7.9539 alpha=149.31 beta=146.70 gamma=45.91
Sites, in units of the cell vectors:
1 Ca 0.7289 0.2289 0.5000
2 Ca 0.0211 0.0211 0.0000
3 Te 0.5076 0.5076 0.0000
4 Te 0.2424 0.7424 0.5000

4.
Crystalline CaTe at its relaxed geometry, computed with PBE-GGA.

Raw formation energy   -1.403 eV per atom
VASP energy   -0.1461 Ha/atom

Unit cell a=5.0245 b=5.0245 c=5.0245 alpha=60.00 beta=60.00 gamma=60.00
Sites, in units of the cell vectors:
1 Te 0.7500 0.7500 0.7500
2 Ca 0.0000 0.0000 0.0000

5.
Crystalline CaTe7 at its relaxed geometry, computed with PBE-GGA.

Raw formation energy   -0.034 eV per atom
VASP energy   -0.1115 Ha/atom

Unit cell a=6.8861 b=6.8861 c=6.8861 alpha=60.00 beta=60.00 gamma=60.00
Sites, in units of the cell vectors:
1 Te 0.5000 0.5000 0.0000
2 Te 0.0000 0.5000 0.5000
3 Te 0.5000 0.5000 0.5000
4 Te 0.5000 0.0000 0.5000
5 Te 0.0000 0.5000 0.0000
6 Te 0.0000 0.0000 0.5000
7 Te 0.5000 0.0000 0.0000
8 Ca 0.0000 0.0000 0.0000

6.
Crystalline CaTe at its relaxed geometry, computed with PBE-GGA.

Raw formation energy   -1.344 eV per atom
VASP energy   -0.1439 Ha/atom

Unit cell a=3.9660 b=3.9660 c=3.9636 alpha=90.00 beta=90.00 gamma=99.33
Sites, in units of the cell vectors:
1 Te 0.5000 0.5000 0.5000
2 Ca 0.0000 0.0000 0.0000